1.
# Zn11Pt2 (PBE, relaxed)
# DFT total energy ... -2.285 eV per atom
# Space-group type ... No. 217
# N(E_F) ... 4.9 states/eV per cell
data_Zn11Pt2
_chemical_formula_sum 'Zn22 Pt4'
_cell_length_a 7.926
_cell_length_b 7.926
_cell_length_c 7.926
_cell_angle_alpha 109.47
_cell_angle_beta 109.47
_cell_angle_gamma 109.47
_symmetry_space_group_name_H-M 'P 1'
_symmetry_Int_Tables_number 1
loop_
_symmetry_equiv_pos_as_xyz
'x,y,z'
loop_
_atom_site_label
_atom_site_type_symbol
_atom_site_fract_x
_atom_site_fract_y
_atom_site_fract_z
_atom_site_occupancy
Zn1 Zn 0.000 0.000 0.781 1
Zn2 Zn 0.000 0.277 0.650 1
Zn3 Zn 0.000 0.358 0.358 1
Zn4 Zn 0.000 0.642 0.642 1
Zn5 Zn 0.000 0.650 0.277 1
Zn6 Zn 0.000 0.781 0.000 1
Zn7 Zn 0.219 0.219 0.219 1
Zn8 Zn 0.277 0.000 0.650 1
Zn9 Zn 0.277 0.650 0.000 1
Zn10 Zn 0.350 0.350 0.627 1
Zn11 Zn 0.350 0.627 0.350 1
Zn12 Zn 0.358 0.000 0.358 1
Zn13 Zn 0.358 0.358 0.000 1
Zn14 Zn 0.373 0.723 0.723 1
Zn15 Zn 0.627 0.350 0.350 1
Zn16 Zn 0.642 0.000 0.642 1
Zn17 Zn 0.642 0.642 0.000 1
Zn18 Zn 0.650 0.000 0.277 1
Zn19 Zn 0.650 0.277 0.000 1
Zn20 Zn 0.723 0.373 0.723 1
Zn21 Zn 0.723 0.723 0.373 1
Zn22 Zn 0.781 0.000 0.000 1
Pt1 Pt 0.000 0.000 0.346 1
Pt2 Pt 0.000 0.346 0.000 1
Pt3 Pt 0.346 0.000 0.000 1
Pt4 Pt 0.654 0.654 0.654 1

***

2.
# Zn3Pt (PBE, relaxed)
# DFT total energy ... -2.770 eV per atom
# Space-group type ... No. 65
# N(E_F) ... 1.2 states/eV per cell
data_Zn3Pt
_chemical_formula_sum 'Zn3 Pt1'
_cell_length_a 4.641
_cell_length_b 4.641
_cell_length_c 2.841
_cell_angle_alpha 90.00
_cell_angle_beta 90.00
_cell_angle_gamma 106.84
_symmetry_space_group_name_H-M 'P 1'
_symmetry_Int_Tables_number 1
loop_
_symmetry_equiv_pos_as_xyz
'x,y,z'
loop_
_atom_site_label
_atom_site_type_symbol
_atom_site_fract_x
_atom_site_fract_y
_atom_site_fract_z
_atom_site_occupancy
Zn1 Zn 0.000 0.000 0.000 1
Zn2 Zn 0.000 0.500 0.500 1
Zn3 Zn 0.500 0.000 0.500 1
Pt1 Pt 0.500 0.500 0.000 1

***

3.
# ZnPt3 (PBE, relaxed)
# DFT total energy ... -5.181 eV per atom
# Space-group type ... No. 221
# N(E_F) ... 3.8 states/eV per cell
data_ZnPt3
_chemical_formula_sum 'Zn1 Pt3'
_cell_length_a 3.930
_cell_length_b 3.930
_cell_length_c 3.930
_cell_angle_alpha 90.00
_cell_angle_beta 90.00
_cell_angle_gamma 90.00
_symmetry_space_group_name_H-M 'P 1'
_symmetry_Int_Tables_number 1
loop_
_symmetry_equiv_pos_as_xyz
'x,y,z'
loop_
_atom_site_label
_atom_site_type_symbol
_atom_site_fract_x
_atom_site_fract_y
_atom_site_fract_z
_atom_site_occupancy
Zn1 Zn 0.000 0.000 0.000 1
Pt1 Pt 0.000 0.500 0.500 1
Pt2 Pt 0.500 0.000 0.500 1
Pt3 Pt 0.500 0.500 0.000 1

***

4.
# ZnPt3 (PBE, relaxed)
# DFT total energy ... -5.043 eV per atom
# Space-group type ... No. 225
# N(E_F) ... 3.0 states/eV per cell
data_ZnPt3
_chemical_formula_sum 'Zn1 Pt3'
_cell_length_a 4.438
_cell_length_b 4.438
_cell_length_c 4.438
_cell_angle_alpha 60.00
_cell_angle_beta 60.00
_cell_angle_gamma 60.00
_symmetry_space_group_name_H-M 'P 1'
_symmetry_Int_Tables_number 1
loop_
_symmetry_equiv_pos_as_xyz
'x,y,z'
loop_
_atom_site_label
_atom_site_type_symbol
_atom_site_fract_x
_atom_site_fract_y
_atom_site_fract_z
_atom_site_occupancy
Zn1 Zn 0.000 0.000 0.000 1
Pt1 Pt 0.250 0.250 0.250 1
Pt2 Pt 0.500 0.500 0.500 1
Pt3 Pt 0.750 0.750 0.750 1

***

5.
# Zn2Pt (PBE, relaxed)
# DFT total energy ... -3.254 eV per atom
# Space-group type ... No. 164
# N(E_F) ... 1.2 states/eV per cell
data_Zn2Pt
_chemical_formula_sum 'Zn2 Pt1'
_cell_length_a 4.259
_cell_length_b 4.259
_cell_length_c 2.786
_cell_angle_alpha 90.00
_cell_angle_beta 90.00
_cell_angle_gamma 120.00
_symmetry_space_group_name_H-M 'P 1'
_symmetry_Int_Tables_number 1
loop_
_symmetry_equiv_pos_as_xyz
'x,y,z'
loop_
_atom_site_label
_atom_site_type_symbol
_atom_site_fract_x
_atom_site_fract_y
_atom_site_fract_z
_atom_site_occupancy
Zn1 Zn 0.333 0.667 0.378 1
Zn2 Zn 0.667 0.333 0.622 1
Pt1 Pt 0.000 0.000 0.000 1

***

6.
# ZnPt (PBE, relaxed)
# DFT total energy ... -4.099 eV per atom
# Space-group type ... No. 70
# N(E_F) ... 2.0 states/eV per cell
data_ZnPt
_chemical_formula_sum 'Zn4 Pt4'
_cell_length_a 9.456
_cell_length_b 7.791
_cell_length_c 5.721
_cell_angle_alpha 87.43
_cell_angle_beta 55.39
_cell_angle_gamma 37.19
_symmetry_space_group_name_H-M 'P 1'
_symmetry_Int_Tables_number 1
loop_
_symmetry_equiv_pos_as_xyz
'x,y,z'
loop_
_atom_site_label
_atom_site_type_symbol
_atom_site_fract_x
_atom_site_fract_y
_atom_site_fract_z
_atom_site_occupancy
Zn1 Zn 0.010 0.740 0.010 1
Zn2 Zn 0.260 0.990 0.260 1
Zn3 Zn 0.740 0.010 0.740 1
Zn4 Zn 0.990 0.260 0.990 1
Pt1 Pt 0.265 0.265 0.485 1
Pt2 Pt 0.485 0.485 0.265 1
Pt3 Pt 0.515 0.515 0.735 1
Pt4 Pt 0.735 0.735 0.515 1

***

7.
# Zn3Pt (PBE, relaxed)
# DFT total energy ... -2.779 eV per atom
# Space-group type ... No. 223
# N(E_F) ... 1.4 states/eV per cell
data_Zn3Pt
_chemical_formula_sum 'Zn6 Pt2'
_cell_length_a 4.915
_cell_length_b 4.915
_cell_length_c 4.915
_cell_angle_alpha 90.00
_cell_angle_beta 90.00
_cell_angle_gamma 90.00
_symmetry_space_group_name_H-M 'P 1'
_symmetry_Int_Tables_number 1
loop_
_symmetry_equiv_pos_as_xyz
'x,y,z'
loop_
_atom_site_label
_atom_site_type_symbol
_atom_site_fract_x
_atom_site_fract_y
_atom_site_fract_z
_atom_site_occupancy
Zn1 Zn 0.000 0.250 0.500 1
Zn2 Zn 0.000 0.750 0.500 1
Zn3 Zn 0.250 0.500 0.000 1
Zn4 Zn 0.500 0.000 0.250 1
Zn5 Zn 0.500 0.000 0.750 1
Zn6 Zn 0.750 0.500 0.000 1
Pt1 Pt 0.000 0.000 0.000 1
Pt2 Pt 0.500 0.500 0.500 1

***

8.
# Zn2Pt (PBE, relaxed)
# DFT total energy ... -3.266 eV per atom
# Space-group type ... No. 227
# N(E_F) ... 16.9 states/eV per cell
data_Zn2Pt
_chemical_formula_sum 'Zn16 Pt8'
_cell_length_a 8.140
_cell_length_b 8.140
_cell_length_c 8.140
_cell_angle_alpha 60.00
_cell_angle_beta 60.00
_cell_angle_gamma 60.00
_symmetry_space_group_name_H-M 'P 1'
_symmetry_Int_Tables_number 1
loop_
_symmetry_equiv_pos_as_xyz
'x,y,z'
loop_
_atom_site_label
_atom_site_type_symbol
_atom_site_fract_x
_atom_site_fract_y
_atom_site_fract_z
_atom_site_occupancy
Zn1 Zn 0.000 0.000 0.000 1
Zn2 Zn 0.000 0.000 0.500 1
Zn3 Zn 0.000 0.500 0.000 1
Zn4 Zn 0.180 0.180 0.570 1
Zn5 Zn 0.180 0.570 0.180 1
Zn6 Zn 0.180 0.570 0.570 1
Zn7 Zn 0.430 0.430 0.820 1
Zn8 Zn 0.430 0.820 0.430 1
Zn9 Zn 0.430 0.820 0.820 1
Zn10 Zn 0.500 0.000 0.000 1
Zn11 Zn 0.570 0.180 0.180 1
Zn12 Zn 0.570 0.180 0.570 1
Zn13 Zn 0.570 0.570 0.180 1
Zn14 Zn 0.820 0.430 0.430 1
Zn15 Zn 0.820 0.430 0.820 1
Zn16 Zn 0.820 0.820 0.430 1
Pt1 Pt 0.165 0.778 0.778 1
Pt2 Pt 0.222 0.222 0.222 1
Pt3 Pt 0.222 0.222 0.835 1
Pt4 Pt 0.222 0.835 0.222 1
Pt5 Pt 0.778 0.165 0.778 1
Pt6 Pt 0.778 0.778 0.165 1
Pt7 Pt 0.778 0.778 0.778 1
Pt8 Pt 0.835 0.222 0.222 1

***

9.
# ZnPt (PBE, relaxed)
# DFT total energy ... -3.580 eV per atom
# Space-group type ... No. 194
# N(E_F) ... 2.5 states/eV per cell
data_ZnPt
_chemical_formula_sum 'Zn2 Pt2'
_cell_length_a 4.332
_cell_length_b 4.332
_cell_length_c 5.023
_cell_angle_alpha 90.00
_cell_angle_beta 90.00
_cell_angle_gamma 120.00
_symmetry_space_group_name_H-M 'P 1'
_symmetry_Int_Tables_number 1
loop_
_symmetry_equiv_pos_as_xyz
'x,y,z'
loop_
_atom_site_label
_atom_site_type_symbol
_atom_site_fract_x
_atom_site_fract_y
_atom_site_fract_z
_atom_site_occupancy
Zn1 Zn 0.333 0.667 0.250 1
Zn2 Zn 0.667 0.333 0.750 1
Pt1 Pt 0.333 0.667 0.750 1
Pt2 Pt 0.667 0.333 0.250 1

***

10.
# ZnPt (PBE, relaxed)
# DFT total energy ... -3.820 eV per atom
# Space-group type ... No. 194
# N(E_F) ... 4.7 states/eV per cell
data_ZnPt
_chemical_formula_sum 'Zn4 Pt4'
_cell_length_a 4.460
_cell_length_b 4.460
_cell_length_c 7.691
_cell_angle_alpha 90.00
_cell_angle_beta 90.00
_cell_angle_gamma 120.00
_symmetry_space_group_name_H-M 'P 1'
_symmetry_Int_Tables_number 1
loop_
_symmetry_equiv_pos_as_xyz
'x,y,z'
loop_
_atom_site_label
_atom_site_type_symbol
_atom_site_fract_x
_atom_site_fract_y
_atom_site_fract_z
_atom_site_occupancy
Zn1 Zn 0.333 0.667 0.086 1
Zn2 Zn 0.333 0.667 0.414 1
Zn3 Zn 0.667 0.333 0.586 1
Zn4 Zn 0.667 0.333 0.914 1
Pt1 Pt 0.000 0.000 0.250 1
Pt2 Pt 0.000 0.000 0.750 1
Pt3 Pt 0.333 0.667 0.750 1
Pt4 Pt 0.667 0.333 0.250 1